# 1
TiNbTe | GGA-PBE | optimized geometry

* energy: -0.52634 Ry per atom
* distance to the lowest polymorph of the same formula: 239.7 meV per atom
* ΔE_f (raw): -0.126 eV/atom
* M_tot: 0.00 μB per formula unit
* space group: C2/m

Unit cell a=3.542 b=5.355 c=7.046 alpha=80.37 beta=90.00 gamma=109.32
Sites, in units of the cell vectors:
Ti (0.800, 0.600, 0.151)
Ti (0.200, 0.400, 0.849)
Te (0.074, 0.149, 0.232)
Te (0.926, 0.851, 0.768)
Nb (0.355, 0.710, 0.467)
Nb (0.645, 0.290, 0.533)

# 2
Th2TiAg | GGA-PBE | optimized geometry

* formation energy: 10.0 kcal/mol of atoms
* energy: -0.43814 Ry per atom
* distance to the lowest polymorph of the same formula: 336.2 meV per atom
* M_tot: 0.67 μB per formula unit
* space group: R-3m

Unit cell a=3.259 b=3.259 c=11.404 alpha=81.79 beta=81.79 gamma=60.00
Sites, in units of the cell vectors:
Ag (0.500, 0.500, 0.500)
Th (0.914, 0.914, 0.257)
Th (0.086, 0.086, 0.743)
Ti (0.000, 0.000, 0.000)